Tl2PtRh: optimized geometry, GGA-PBE.

Results
- total moment (μB per cell) = 0.66
- distance to the lowest polymorph of the same formula (meV/atom) = 98.0
- electronic total energy (eV per cell) = -17.32
- calculated formation energy (kcal/mol of atoms) = 4.65

Cell lengths 3.2597, 3.2597, 7.9050 Å; angles 90.00, 90.00, 90.00 degrees
Space group P4mm (No. 99)
Inequivalent atoms, fractional coordinates:
Tl  0.0000  0.0000  0.0000 [1 per cell]
Tl  0.5000  0.5000  0.3422 [1 per cell]
Pt  0.0000  0.0000  0.5890 [1 per cell]
Rh  0.5000  0.5000  0.7677 [1 per cell]